Material: Ba3TiMn2O9
Method: DFT, PBE with a Hubbard U
State: optimized geometry

CIF file:
```
data_Ba3TiMn2O9
_space_group_name_H-M_alt 'P -3 m 1'
_space_group_IT_number 164
_space_group_name_Hall '-P 3 2"'
_cell_length_a 5.6662
_cell_length_b 5.6662
_cell_length_c 6.9387
_cell_angle_alpha 90.00
_cell_angle_beta 90.00
_cell_angle_gamma 120.00
loop_
_atom_site_label
_atom_site_type_symbol
_atom_site_fract_x
_atom_site_fract_y
_atom_site_fract_z
Ba1 Ba 0.0000 0.0000 0.0000
Ba2 Ba 0.3333 0.6667 0.6711
Ti1 Ti 0.0000 0.0000 0.5000
Mn1 Mn 0.3333 0.6667 0.1673
O1 O 0.0000 0.5000 0.0000
O2 O 0.1672 0.3345 0.3333
```

Properties
Calculated total energy = -107.80 eV for the cell shown
ρ = 6143 kg/m3